A geometry-optimized Np2PaSiN5 structure, computed with PBE-GGA.

density of states at the Fermi level = 13.78 states/eV/cell
crystal system = tetragonal
uncorrected formation energy = -0.874 eV per atom
E = -10.032 eV/atom

Cell: 6.0339 6.0339 5.8067 Å, 90.00 90.00 90.00°
Closest atoms and distances in Å follow each position.
Fractional coordinates of all 18 atoms:
1 Np 0.1488 0.3512 0.0000  8 N 2.30-2.48, 1 Np 2.54
2 Np 0.3512 0.8512 0.0000  8 N 2.30-2.48, 1 Np 2.54
3 Np 0.6488 0.1488 0.0000  8 N 2.30-2.48, 1 Np 2.54
4 Np 0.8512 0.6488 0.0000  8 N 2.30-2.48, 1 Np 2.54
5 Pa 0.0000 0.0000 0.5000  10 N 2.59-2.90
6 Pa 0.5000 0.5000 0.5000  10 N 2.59-2.90
7 Si 0.0000 0.5000 0.5000  4 N 1.83
8 Si 0.5000 0.0000 0.5000  4 N 1.83
9 N 0.0000 0.0000 0.0000  4 Np 2.30
10 N 0.1570 0.6570 0.2858  1 Si 1.83
11 N 0.1570 0.6570 0.7142  1 Si 1.83
12 N 0.3430 0.1570 0.2858  1 Si 1.83
13 N 0.3430 0.1570 0.7142  1 Si 1.83
14 N 0.5000 0.5000 0.0000  4 Np 2.30
15 N 0.6570 0.8430 0.2858  1 Si 1.83
16 N 0.6570 0.8430 0.7142  1 Si 1.83
17 N 0.8430 0.3430 0.2858  1 Si 1.83
18 N 0.8430 0.3430 0.7142  1 Si 1.83